A geometry-optimized La4Tl5 structure, computed with GGA-PBEsol.

VASP energy ... -76.662 eV for the cell shown
SG ... P6_3/mcm
Crystal system ... hexagonal
Theoretical density ... 9.84 g/cm3
Magnetic moment ... 0.00 μB per atom

Unit cell a=6.6475 b=9.6158 c=9.6158 alpha=120.00 beta=90.00 gamma=90.00
Last column: nearest neighbours and their distance in Å.
Atoms (fractional coordinates):
Tl 0.7500 0.3030 0.3030  7 La 3.16-3.38
Tl 0.0000 0.6667 0.3333  2 Tl 3.32, 6 La 3.47
Tl 0.2500 0.0000 0.3030  7 La 3.16-3.38
Tl 0.2500 0.3030 0.0000  7 La 3.16-3.38
Tl 0.5000 0.6667 0.3333  2 Tl 3.32, 6 La 3.47
Tl 0.0000 0.3333 0.6667  2 Tl 3.32, 6 La 3.47
Tl 0.7500 0.6970 0.0000  7 La 3.16-3.38
Tl 0.2500 0.6970 0.6970  7 La 3.16-3.38
Tl 0.5000 0.3333 0.6667  2 Tl 3.32, 6 La 3.47
Tl 0.7500 0.0000 0.6970  7 La 3.16-3.38
La 0.2500 0.6313 0.0000  9 Tl 3.16-3.47
La 0.2500 0.0000 0.6313  9 Tl 3.16-3.47
La 0.0000 0.0000 0.0000  2 La 3.32, 6 Tl 3.35
La 0.2500 0.3687 0.3687  9 Tl 3.16-3.47
La 0.7500 0.3687 0.0000  9 Tl 3.16-3.47
La 0.5000 0.0000 0.0000  2 La 3.32, 6 Tl 3.35
La 0.7500 0.6313 0.6313  9 Tl 3.16-3.47
La 0.7500 0.0000 0.3687  9 Tl 3.16-3.47


A geometry-optimized Ba4Nd4Ti3MnCu4O22 structure, computed with GGA-PBEsol.

Raw formation energy ... -97.5 eV per formula unit
SG ... P4mm
Crystal system ... tetragonal
Theoretical density ... 6.81 g/cm3
Magnetic moment ... 0.08 μB per atom

Unit cell a=5.4775 b=5.4775 c=15.6975 alpha=90.00 beta=90.00 gamma=90.00
Last column: nearest neighbours and their distance in Å.
Atoms (fractional coordinates):
O 0.2501 0.2501 0.3889  2 Ti 1.95
O 0.2498 0.2498 0.0960  2 Cu 1.94
O 0.7538 0.2462 0.6145  1 Mn 1.91, 1 Ti 1.98
O 0.7502 0.2498 0.0960  2 Cu 1.94
O 0.2495 0.7505 0.9025  2 Cu 1.94-1.95
O 0.7502 0.7502 0.0960  2 Cu 1.94
O 0.5000 0.5000 0.5023  2 Ti 1.96-2.01
O 0.5000 0.5000 0.7446  1 Ti 1.84
O 0.2462 0.7538 0.6145  1 Mn 1.91, 1 Ti 1.98
O 0.5000 0.5000 0.2568  1 Ti 1.84
O 0.2501 0.7499 0.3889  2 Ti 1.95
O 0.0000 0.0000 0.7404  1 Mn 1.82
O 0.7505 0.7505 0.9025  2 Cu 1.94-1.95
O 0.0000 0.0000 0.2578  1 Ti 1.84
O 0.2495 0.2495 0.9025  2 Cu 1.94-1.95
O 0.7538 0.7538 0.6145  1 Mn 1.91, 1 Ti 1.98
O 0.7505 0.2495 0.9025  2 Cu 1.94-1.95
O 0.7499 0.7499 0.3889  2 Ti 1.95
O 0.7499 0.2501 0.3889  2 Ti 1.95
O 0.2498 0.7502 0.0960  2 Cu 1.94
O 0.0000 0.0000 0.5036  1 Mn 1.89, 1 Ti 2.02
O 0.2462 0.2462 0.6145  1 Mn 1.91, 1 Ti 1.98
Ba 0.5000 0.0000 0.7632  12 O 2.75-3.03
Ba 0.0000 0.5000 0.7632  12 O 2.75-3.03
Ba 0.0000 0.5000 0.2325  8 O 2.77-2.89
Ba 0.5000 0.0000 0.2325  8 O 2.77-2.89
Cu 0.5000 0.5000 0.8903  4 O 1.95
Cu 0.0000 0.0000 0.8905  4 O 1.94
Cu 0.5000 0.5000 0.1061  4 O 1.94
Cu 0.0000 0.0000 0.1057  4 O 1.94
Nd 0.5000 0.0000 0.5025  12 O 2.62-2.74
Nd 0.0000 0.5000 0.9984  8 O 2.45-2.47
Nd 0.0000 0.5000 0.5025  12 O 2.62-2.74
Nd 0.5000 0.0000 0.9984  8 O 2.45-2.47
Ti 0.0000 0.0000 0.3749  6 O 1.84-2.02
Ti 0.5000 0.5000 0.6273  6 O 1.84-1.98
Ti 0.5000 0.5000 0.3743  6 O 1.84-2.01
Mn 0.0000 0.0000 0.6243  6 O 1.82-1.91


A geometry-optimized TlHIN2 structure, computed with GGA-PBEsol.

VASP energy ... -15.092 eV for the cell shown
SG ... P4/mmm
Crystal system ... tetragonal
Theoretical density ... 6.44 g/cm3
Magnetic moment ... 1.02 μB per atom

Unit cell a=3.7965 b=4.9455 c=4.9455 alpha=90.00 beta=90.00 gamma=90.00
Last column: nearest neighbours and their distance in Å.
Atoms (fractional coordinates):
Tl 0.5000 0.5000 0.5000  8 N 3.12
N 0.0000 0.5000 0.0000  2 H 2.47
N 0.0000 0.0000 0.5000  2 H 2.47
H 0.0000 0.0000 0.0000  2 I 1.90
I 0.5000 0.0000 0.0000  2 H 1.90


A geometry-optimized Rb2MnSbAu structure, computed with GGA-PBEsol.

Raw formation energy ... 2.3 eV per formula unit
SG ... P4/mmm
Crystal system ... tetragonal
Theoretical density ... 4.32 g/cm3
Magnetic moment ... 0.78 μB per atom

Unit cell a=4.8301 b=6.5857 c=6.5857 alpha=90.00 beta=90.00 gamma=90.00
Last column: nearest neighbours and their distance in Å.
Atoms (fractional coordinates):
Au 0.5000 0.5000 0.5000  8 Rb 4.08
Rb 0.0000 0.0000 0.5000  2 Mn 3.29
Rb 0.0000 0.5000 0.0000  2 Mn 3.29
Mn 0.0000 0.0000 0.0000  2 Sb 2.42
Sb 0.5000 0.0000 0.0000  2 Mn 2.42


A geometry-optimized Sc5Tl structure, computed with GGA-PBEsol.

VASP energy ... -36.619 eV for the cell shown
SG ... Cmmm
Crystal system ... orthorhombic
Theoretical density ... 5.25 g/cm3
Magnetic moment ... 0.00 μB per atom

Unit cell a=4.4118 b=4.4482 c=7.2673 alpha=72.18 beta=90.00 gamma=90.00
Last column: nearest neighbours and their distance in Å.
Atoms (fractional coordinates):
Sc 0.0000 0.8375 0.3250  10 Sc 3.13-3.29, 2 Tl 3.16
Sc 0.5000 0.6709 0.6582  10 Sc 3.12-3.25, 2 Tl 3.23
Sc 0.5000 0.3291 0.3418  10 Sc 3.12-3.25, 2 Tl 3.23
Sc 0.0000 0.1625 0.6750  10 Sc 3.13-3.29, 2 Tl 3.16
Sc 0.5000 0.0000 0.0000  4 Tl 3.13, 8 Sc 3.15-3.25
Tl 0.0000 0.5000 0.0000  12 Sc 3.13-3.23


A geometry-optimized GaRe3Au structure, computed with GGA-PBEsol.

VASP energy ... -32.084 eV for the cell shown
SG ... Pm-3m
Crystal system ... cubic
Theoretical density ... 12.60 g/cm3
Magnetic moment ... 0.74 μB per atom

Unit cell a=4.7737 b=4.7737 c=4.7737 alpha=90.00 beta=90.00 gamma=90.00
Last column: nearest neighbours and their distance in Å.
Atoms (fractional coordinates):
Re 0.0000 0.5000 0.0000  2 Au 2.39
Re 0.0000 0.0000 0.5000  2 Au 2.39
Re 0.5000 0.0000 0.0000  2 Au 2.39
Ga 0.5000 0.5000 0.5000  12 Re 3.38
Au 0.0000 0.0000 0.0000  6 Re 2.39


A geometry-optimized MnTl3Sn structure, computed with GGA-PBEsol.

VASP energy ... -19.621 eV for the cell shown
SG ... Pm-3m
Crystal system ... cubic
Theoretical density ... 9.82 g/cm3
Magnetic moment ... 0.50 μB per atom

Unit cell a=5.1042 b=5.1042 c=5.1042 alpha=90.00 beta=90.00 gamma=90.00
Last column: nearest neighbours and their distance in Å.
Atoms (fractional coordinates):
Tl 0.0000 0.0000 0.5000  2 Mn 2.55
Tl 0.5000 0.0000 0.0000  2 Mn 2.55
Tl 0.0000 0.5000 0.0000  2 Mn 2.55
Mn 0.0000 0.0000 0.0000  6 Tl 2.55
Sn 0.5000 0.5000 0.5000  12 Tl 3.61


A geometry-optimized Co2Ir structure, computed with GGA-PBEsol.

VASP energy ... -50.398 eV for the cell shown
SG ... Cm
Crystal system ... monoclinic
Theoretical density ... 14.58 g/cm3
Magnetic moment ... 1.08 μB per atom

Unit cell a=2.5993 b=4.8212 c=6.0324 alpha=103.50 beta=90.00 gamma=105.64
Last column: nearest neighbours and their distance in Å.
Atoms (fractional coordinates):
Co 0.0006 0.0012 0.0094  8 Co 2.49-2.63, 4 Ir 2.49-2.61
Co 0.6685 0.3369 0.3319  3 Ir 2.49-2.53, 9 Co 2.51-2.60
Co 0.3882 0.7764 0.2775  8 Co 2.49-2.60, 4 Ir 2.53-2.54
Co 0.3326 0.6653 0.6623  7 Co 2.50-2.63, 5 Ir 2.51-2.55
Ir 0.7251 0.4503 0.9495  8 Co 2.49-2.56, 4 Ir 2.60-2.65
Ir 0.0516 0.1032 0.6028  8 Co 2.51-2.61, 4 Ir 2.60-2.65


A geometry-optimized K3Ga3As4 structure, computed with GGA-PBEsol.

VASP energy ... -153.729 eV for the cell shown
SG ... Pnna
Crystal system ... orthorhombic
Theoretical density ... 3.97 g/cm3
Magnetic moment ... 0.00 μB per atom

Unit cell a=6.6137 b=10.6373 c=14.8915 alpha=90.00 beta=90.00 gamma=90.00
Last column: nearest neighbours and their distance in Å.
Atoms (fractional coordinates):
K 0.5608 0.6201 0.4049  1 Ga 3.17, 4 As 3.26-3.43
K 0.2500 0.9203 0.5000  6 As 3.24-3.49
K 0.0608 0.3799 0.4049  1 Ga 3.17, 4 As 3.26-3.43
K 0.5608 0.8799 0.0951  1 Ga 3.17, 4 As 3.26-3.43
K 0.2500 0.5797 0.0000  6 As 3.24-3.49
K 0.9392 0.6201 0.5951  1 Ga 3.17, 4 As 3.26-3.43
K 0.9392 0.8799 0.9049  1 Ga 3.17, 4 As 3.26-3.43
K 0.0608 0.1201 0.0951  1 Ga 3.17, 4 As 3.26-3.43
K 0.7500 0.4203 0.0000  6 As 3.24-3.49
K 0.4392 0.1201 0.9049  1 Ga 3.17, 4 As 3.26-3.43
K 0.4392 0.3799 0.5951  1 Ga 3.17, 4 As 3.26-3.43
K 0.7500 0.0797 0.5000  6 As 3.24-3.49
As 0.0405 0.0952 0.3247  3 Ga 2.46-2.52
As 0.4595 0.0952 0.6753  3 Ga 2.46-2.52
As 0.5405 0.5952 0.1753  3 Ga 2.46-2.52
As 0.9596 0.1940 0.8642  3 Ga 2.52-2.57
As 0.5404 0.3060 0.3642  3 Ga 2.52-2.57
As 0.4596 0.8060 0.8642  3 Ga 2.52-2.57
As 0.0404 0.8060 0.1358  3 Ga 2.52-2.57
As 0.0404 0.6940 0.3642  3 Ga 2.52-2.57
As 0.0405 0.4048 0.1753  3 Ga 2.46-2.52
As 0.4596 0.6940 0.6358  3 Ga 2.52-2.57
As 0.9595 0.5952 0.8247  3 Ga 2.46-2.52
As 0.9595 0.9048 0.6753  3 Ga 2.46-2.52
As 0.5404 0.1940 0.1358  3 Ga 2.52-2.57
As 0.5405 0.9048 0.3247  3 Ga 2.46-2.52
As 0.4595 0.4048 0.8247  3 Ga 2.46-2.52
As 0.9596 0.3060 0.6358  3 Ga 2.52-2.57
Ga 0.1928 0.7500 0.7500  4 As 2.52
Ga 0.8072 0.2500 0.2500  4 As 2.52
Ga 0.9020 0.6112 0.2170  4 As 2.46-2.57
Ga 0.3072 0.7500 0.2500  4 As 2.52
Ga 0.5980 0.6112 0.7830  4 As 2.46-2.57
Ga 0.6928 0.2500 0.7500  4 As 2.52
Ga 0.0980 0.1112 0.7170  4 As 2.46-2.57
Ga 0.4020 0.3888 0.2170  4 As 2.46-2.57
Ga 0.4020 0.1112 0.2830  4 As 2.46-2.57
Ga 0.5980 0.8888 0.7170  4 As 2.46-2.57
Ga 0.0980 0.3888 0.7830  4 As 2.46-2.57
Ga 0.9020 0.8888 0.2830  4 As 2.46-2.57


A geometry-optimized Sc3HRu structure, computed with GGA-PBEsol.

VASP energy ... -34.418 eV for the cell shown
SG ... Pm-3m
Crystal system ... cubic
Theoretical density ... 5.13 g/cm3
Magnetic moment ... 0.00 μB per atom

Unit cell a=4.2483 b=4.2483 c=4.2483 alpha=90.00 beta=90.00 gamma=90.00
Last column: nearest neighbours and their distance in Å.
Atoms (fractional coordinates):
Sc 0.0000 0.0000 0.5000  2 H 2.12
Sc 0.5000 0.0000 0.0000  2 H 2.12
Sc 0.0000 0.5000 0.0000  2 H 2.12
H 0.0000 0.0000 0.0000  6 Sc 2.12
Ru 0.5000 0.5000 0.5000  12 Sc 3.00


Question: Number 10 is which compound?
Answer: Sc3HRu